Entry 1:
DFT (PBE) results for a geometry-optimized MgZn structure.

Output
ρ = 2.15 g cm⁻³
volume = 555.5 Å³ per cell
Fermi-level density of states = 0.696 states/eV/atom
space-group type = I-43m, No. 217
DFT total energy = -15.7 eV/cell
magnetization = 0.00 μB/cell
energy of formation from the pure elements = 0.454 eV/atom

abc: 8.2205 8.2205 8.2205
angles: 90.00 90.00 90.00
With the nearest neighbours (Å) after each atom.
Positions (direct):
Mg: 0.2065 0.2065 0.2065  4 Zn 2.58-2.84
Mg: 0.2065 0.7935 0.7935  4 Zn 2.58-2.84
Mg: 0.2935 0.2935 0.7065  4 Zn 2.58-2.84
Mg: 0.2935 0.7065 0.2935  4 Zn 2.58-2.84
Mg: 0.7065 0.2935 0.2935  4 Zn 2.58-2.84
Mg: 0.7065 0.7065 0.7065  4 Zn 2.58-2.84
Mg: 0.7935 0.2065 0.7935  4 Zn 2.58-2.84
Mg: 0.7935 0.7935 0.2065  4 Zn 2.58-2.84
Zn: 0.1126 0.1126 0.8874  4 Mg 2.58-2.84, 3 Zn 2.62
Zn: 0.1126 0.8874 0.1126  4 Mg 2.58-2.84, 3 Zn 2.62
Zn: 0.3874 0.3874 0.3874  4 Mg 2.58-2.84, 3 Zn 2.62
Zn: 0.3874 0.6126 0.6126  4 Mg 2.58-2.84, 3 Zn 2.62
Zn: 0.6126 0.3874 0.6126  4 Mg 2.58-2.84, 3 Zn 2.62
Zn: 0.6126 0.6126 0.3874  4 Mg 2.58-2.84, 3 Zn 2.62
Zn: 0.8874 0.1126 0.1126  4 Mg 2.58-2.84, 3 Zn 2.62
Zn: 0.8874 0.8874 0.8874  4 Mg 2.58-2.84, 3 Zn 2.62


Entry 2:
DFT (PBE) results for a geometry-optimized Mg3Zn5 structure.

Output
ρ = 4.46 g cm⁻³
volume = 297.7 Å³ per cell
Fermi-level density of states = 0.212 states/eV/atom
energy relative to the lowest polymorph listed for this composition = 78 meV/atom
space-group type = Cmcm, No. 63
DFT total energy = -21.7 eV/cell
magnetization = 0.00 μB/cell
energy of formation from the pure elements = 0.038 eV/atom

abc: 8.4095 8.4095 4.8647
angles: 90.00 90.00 59.91
With the nearest neighbours (Å) after each atom.
Positions (direct):
Mg: 0.1114 0.4998 0.2500  8 Zn 2.83-2.94, 2 Mg 3.07
Mg: 0.1110 0.8890 0.7500  8 Zn 2.83-2.94, 2 Mg 3.06
Mg: 0.4998 0.1114 0.7500  8 Zn 2.83-2.94, 2 Mg 3.07
Mg: 0.5002 0.8886 0.2500  8 Zn 2.83-2.94, 2 Mg 3.07
Mg: 0.8890 0.1110 0.2500  8 Zn 2.83-2.94, 2 Mg 3.06
Mg: 0.8886 0.5002 0.7500  8 Zn 2.83-2.94, 2 Mg 3.07
Zn: 0.1666 0.1666 0.0000  2 Zn 2.43
Zn: 0.1666 0.1666 0.5000  2 Zn 2.43
Zn: 0.3085 0.6915 0.2500  6 Zn 2.79-2.92, 4 Mg 2.83-2.94
Zn: 0.3086 0.5002 0.7500  6 Zn 2.79-2.92, 4 Mg 2.83-2.94
Zn: 0.5002 0.3086 0.2500  6 Zn 2.79-2.92, 4 Mg 2.83-2.94
Zn: 0.4998 0.6914 0.7500  6 Zn 2.79-2.92, 4 Mg 2.83-2.94
Zn: 0.6914 0.4998 0.2500  6 Zn 2.79-2.92, 4 Mg 2.83-2.94
Zn: 0.6915 0.3085 0.7500  6 Zn 2.79-2.92, 4 Mg 2.83-2.94
Zn: 0.8334 0.8334 0.0000  2 Zn 2.43
Zn: 0.8334 0.8334 0.5000  2 Zn 2.43


Entry 3:
DFT (PBE) results for a geometry-optimized MgZn5 structure.

Output
ρ = 6.10 g cm⁻³
volume = 95.6 Å³ per cell
Fermi-level density of states = 0.229 states/eV/atom
space-group type = Pm, No. 6
DFT total energy = -8.0 eV/cell
magnetization = 0.00 μB/cell
energy of formation from the pure elements = -0.005 eV/atom

abc: 2.9462 4.4912 7.3669
angles: 90.00 101.18 90.00
With the nearest neighbours (Å) after each atom.
Positions (direct):
Mg: 0.0000 0.0000 0.0000  10 Zn 2.80-2.90, 2 Mg 2.95
Zn: 0.2224 0.5000 0.4421  12 Zn 2.73-2.95
Zn: 0.3259 0.0000 0.6560  10 Zn 2.73-2.95, 2 Mg 2.88-2.90
Zn: 0.5604 0.5000 0.1192  8 Zn 2.74-2.95, 4 Mg 2.82
Zn: 0.6680 0.0000 0.3370  10 Zn 2.73-2.95, 2 Mg 2.84-2.85
Zn: 0.8901 0.5000 0.7685  10 Zn 2.77-2.95, 2 Mg 2.80


Entry 4:
DFT (PBE) results for a geometry-optimized Mg3Zn2 structure.

Output
ρ = 3.30 g cm⁻³
volume = 205.3 Å³ per cell
Fermi-level density of states = 0.301 states/eV/atom
energy relative to the lowest polymorph listed for this composition = 87 meV/atom
space-group type = R-3c, No. 167
DFT total energy = -14.4 eV/cell
magnetization = 0.00 μB/cell
energy of formation from the pure elements = 0.030 eV/atom

abc: 7.4791 7.4791 7.4791
angles: 47.11 47.11 47.11
With the nearest neighbours (Å) after each atom.
Positions (direct):
Mg: 0.2114 0.7500 0.2886  4 Zn 2.73-3.01, 4 Mg 3.02
Mg: 0.2500 0.7114 0.7886  4 Zn 2.73-3.01, 4 Mg 3.02
Mg: 0.2886 0.2114 0.7500  4 Zn 2.73-3.01, 4 Mg 3.02
Mg: 0.7114 0.7886 0.2500  4 Zn 2.73-3.01, 4 Mg 3.02
Mg: 0.7500 0.2886 0.2114  4 Zn 2.73-3.01, 4 Mg 3.02
Mg: 0.7886 0.2500 0.7114  4 Zn 2.73-3.01, 4 Mg 3.02
Zn: 0.1892 0.1892 0.1892  1 Zn 2.42
Zn: 0.3108 0.3108 0.3108  1 Zn 2.42
Zn: 0.6892 0.6892 0.6892  1 Zn 2.42
Zn: 0.8108 0.8108 0.8108  1 Zn 2.42


Entry 5:
DFT (PBE) results for a geometry-optimized MgZn structure.

Output
ρ = 3.96 g cm⁻³
volume = 150.4 Å³ per cell
Fermi-level density of states = 0.289 states/eV/atom
space-group type = P2_13, No. 198
DFT total energy = -11.7 eV/cell
magnetization = 0.00 μB/cell
energy of formation from the pure elements = -0.027 eV/atom

abc: 5.3182 5.3182 5.3182
angles: 90.00 90.00 90.00
With the nearest neighbours (Å) after each atom.
Positions (direct):
Mg: 0.0989 0.0989 0.0989  7 Zn 2.80-2.86
Mg: 0.4011 0.9011 0.5989  7 Zn 2.80-2.86
Mg: 0.5989 0.4011 0.9011  7 Zn 2.80-2.86
Mg: 0.9011 0.5989 0.4011  7 Zn 2.80-2.86
Zn: 0.0974 0.5974 0.9026  7 Mg 2.80-2.86
Zn: 0.4026 0.4026 0.4026  7 Mg 2.80-2.86
Zn: 0.5974 0.9026 0.0974  7 Mg 2.80-2.86
Zn: 0.9026 0.0974 0.5974  7 Mg 2.80-2.86


Entry 6:
DFT (PBE) results for a geometry-optimized Mg3Zn5 structure.

Output
ρ = 4.54 g cm⁻³
volume = 292.5 Å³ per cell
Fermi-level density of states = 0.249 states/eV/atom
energy relative to the lowest polymorph listed for this composition = 12 meV/atom
space-group type = P-1, No. 2
DFT total energy = -22.7 eV/cell
magnetization = 0.00 μB/cell
energy of formation from the pure elements = -0.027 eV/atom

abc: 4.8478 8.0825 8.0904
angles: 93.44 107.13 102.94
With the nearest neighbours (Å) after each atom.
Positions (direct):
Mg: 0.1961 0.3879 0.0226  8 Zn 2.78-3.07, 1 Mg 2.87
Mg: 0.2387 0.5907 0.4043  6 Zn 2.81-3.04
Mg: 0.3018 0.9732 0.6147  8 Zn 2.76-3.00, 1 Mg 3.02
Mg: 0.6982 0.0268 0.3853  8 Zn 2.76-3.00, 1 Mg 3.02
Mg: 0.7613 0.4093 0.5957  6 Zn 2.81-3.04
Mg: 0.8039 0.6121 0.9774  8 Zn 2.78-3.07, 1 Mg 2.87
Zn: 0.0613 0.8729 0.2570  5 Zn 2.66-2.80, 5 Mg 2.76-2.90
Zn: 0.2344 0.2180 0.3311  4 Zn 2.69-2.84, 4 Mg 2.85-2.95
Zn: 0.2651 0.6722 0.7816  4 Zn 2.69-2.82, 3 Mg 2.79-2.85
Zn: 0.2811 0.0393 0.0316  7 Zn 2.52-2.81
Zn: 0.4405 0.7402 0.1337  5 Zn 2.66-2.80, 5 Mg 2.78-2.88
Zn: 0.5595 0.2598 0.8663  5 Zn 2.66-2.80, 5 Mg 2.78-2.88
Zn: 0.7189 0.9607 0.9684  7 Zn 2.52-2.81
Zn: 0.7349 0.3278 0.2184  4 Zn 2.69-2.82, 3 Mg 2.79-2.85
Zn: 0.7656 0.7820 0.6689  4 Zn 2.69-2.84, 4 Mg 2.85-2.95
Zn: 0.9387 0.1271 0.7430  5 Zn 2.66-2.80, 5 Mg 2.76-2.90


> What is the magnetization in the sixth record?

0.00 μB/cell


> magnetization of number 4 (Mg3Zn2)?

0.00 μB/cell


> energy of formation from the pure elements of number 5 (MgZn)?

-0.027 eV/atom